SrLi2Ca: relaxed, PBE-GGA.

Results
Crystal system: tetragonal
Spin magnetization, μB per formula unit: 0.0
Distance to the lowest polymorph of the same formula, eV per atom: 0.0000
Formation energy, meV/atom: 22

Lattice parameters (Å, degrees): 4.102 4.102 8.205 90.00 90.00 90.00
Space group P4/mmm (No. 123)
One atom of each set of equivalent atoms:
Sr 0.000 0.000 0.000 [1 per cell]
Li 0.500 0.500 0.273 [2 per cell]
Ca 0.000 0.000 0.500 [1 per cell]